Record 1
ZrFeHg after structural relaxation. Source: Alexandria, functional PBE.

a = 4.6613 Å, b = 4.6613 Å, c = 2.9525 Å
α = 90.00°, β = 90.00°, γ = 120.00°
Space group P3m1 (No. 156)
Asymmetric unit:
Zr (0.0000, 0.0000, 0.0000) (multiplicity 1)
Fe (0.6667, 0.3333, 0.4978) (multiplicity 1)
Hg (0.3333, 0.6667, 0.5003) (multiplicity 1)

## Properties
Calculated volume = 55.6 Å³ per cell


Record 2
ZrFeHg2 after structural relaxation. Source: Alexandria, functional PBE.

a = 6.675 Å, b = 6.675 Å, c = 6.675 Å
α = 90.00°, β = 90.00°, γ = 90.00°
Space group Fm-3m (No. 225)
Asymmetric unit:
Zr (0.000, 0.000, 0.000) (multiplicity 4)
Fe (0.000, 0.000, 0.500) (multiplicity 4)
Hg (0.250, 0.250, 0.250) (multiplicity 8)

## Properties
Calculated volume = 297.4 Å³ per cell


Record 3
ZrFeHg2 after structural relaxation. Source: Alexandria, functional PBE.

a = 3.0996 Å, b = 3.0996 Å, c = 28.6656 Å
α = 90.00°, β = 90.00°, γ = 120.00°
Space group R-3m (No. 166, hexagonal axes)
Asymmetric unit:
Zr (0.0000, 0.0000, 0.0000) (multiplicity 3)
Fe (0.0000, 0.0000, 0.5000) (multiplicity 3)
Hg (0.0000, 0.0000, 0.2430) (multiplicity 6)

## Properties
Calculated volume = 238.5 Å³ per cell


Record 4
Zr2Fe2Hg after structural relaxation. Source: Alexandria, functional PBE.

a = 7.158 Å, b = 7.158 Å, c = 3.444 Å
α = 90.00°, β = 90.00°, γ = 90.00°
Space group P4/mbm (No. 127)
Asymmetric unit:
Zr (0.180, 0.320, 0.000) (multiplicity 4)
Fe (0.112, 0.612, 0.500) (multiplicity 4)
Hg (0.000, 0.000, 0.500) (multiplicity 2)

## Properties
Calculated volume = 176.5 Å³ per cell


Record 5
Zr2Fe2Hg after structural relaxation. Source: Alexandria, functional PBE.

a = 3.211 Å, b = 3.211 Å, c = 17.599 Å
α = 90.00°, β = 90.00°, γ = 90.00°
Space group I4/mmm (No. 139)
Asymmetric unit:
Zr (0.000, 0.000, 0.123) (multiplicity 4)
Fe (0.000, 0.500, 0.250) (multiplicity 4)
Hg (0.000, 0.000, 0.500) (multiplicity 2)

## Properties
Calculated volume = 181.4 Å³ per cell


Record 6
ZrFeHg2 after structural relaxation. Source: Alexandria, functional PBE.

a = 3.312 Å, b = 4.950 Å, c = 9.567 Å
α = 90.00°, β = 90.00°, γ = 90.00°
Space group Imm2 (No. 44)
Asymmetric unit:
Zr (0.000, 0.000, 0.000) (multiplicity 2)
Fe (0.000, 0.500, 0.713) (multiplicity 2)
Hg (0.000, 0.000, 0.446) (multiplicity 2)
Hg (0.000, 0.500, 0.220) (multiplicity 2)

## Properties
Calculated volume = 156.9 Å³ per cell


Record 7
ZrFeHg2 after structural relaxation. Source: Alexandria, functional PBE.

a = 4.365 Å, b = 4.365 Å, c = 8.055 Å
α = 90.00°, β = 90.00°, γ = 90.00°
Space group I4/mmm (No. 139)
Asymmetric unit:
Zr (0.000, 0.000, 0.000) (multiplicity 2)
Fe (0.000, 0.000, 0.500) (multiplicity 2)
Hg (0.000, 0.500, 0.250) (multiplicity 4)

## Properties
Calculated volume = 153.5 Å³ per cell


Record 8
ZrFeHg2 after structural relaxation. Source: Alexandria, functional PBE.

a = 3.390 Å, b = 3.734 Å, c = 6.575 Å
α = 90.00°, β = 104.71°, γ = 90.00°
Space group Pm (No. 6)
Asymmetric unit:
Zr (0.000, 0.000, 0.000) (multiplicity 1)
Fe (0.569, 0.500, 0.141) (multiplicity 1)
Hg (0.357, 0.500, 0.710) (multiplicity 1)
Hg (0.725, 0.000, 0.440) (multiplicity 1)

## Properties
Calculated volume = 80.5 Å³ per cell


Listing energy of formation from the pure elements for the structures above in their given order: 147, 336, 277, -116, 159, 175, 131, 124 meV/atom.
Listing energy above the most stable polymorph in this dataset for the structures above in their given order: 0.117, 0.244, 0.185, 0.000, 0.275, 0.083, 0.039, 0.032 eV per atom.